No. 1
# BeOsPb PBE relaxed
data_BeOsPb
_chemical_formula_sum 'Be1 Os1 Pb1'
_cell_length_a 3.0706
_cell_length_b 3.0706
_cell_length_c 6.3422
_cell_angle_alpha 90.00
_cell_angle_beta 90.00
_cell_angle_gamma 120.00
_symmetry_space_group_name_H-M 'P 3 m 1'
_symmetry_Int_Tables_number 156
_symmetry_space_group_name_Hall 'P 3 -2"'
loop_
_atom_site_label
_atom_site_type_symbol
_atom_site_fract_x
_atom_site_fract_y
_atom_site_fract_z
_atom_site_occupancy
Be1 Be 0.0000 0.0000 0.0000 1
Os1 Os 0.6667 0.3333 0.2307 1
Pb1 Pb 0.3333 0.6667 0.6075 1
# Energy relative to the lowest polymorph listed for this composition = 340 meV per atom
# Raw total energy = -5.505 eV/atom
# Density of states at the Fermi level = 2.0 states/eV/f.u.
# E_form = 0.716 eV per atom

No. 2
# BeIrPb2 PBE relaxed
data_BeIrPb2
_chemical_formula_sum 'Be1 Ir1 Pb2'
_cell_length_a 3.6321
_cell_length_b 4.3084
_cell_length_c 5.1994
_cell_angle_alpha 90.00
_cell_angle_beta 90.00
_cell_angle_gamma 90.00
_symmetry_space_group_name_H-M 'P m m m'
_symmetry_Int_Tables_number 47
_symmetry_space_group_name_Hall '-P 2 2'
loop_
_atom_site_label
_atom_site_type_symbol
_atom_site_fract_x
_atom_site_fract_y
_atom_site_fract_z
_atom_site_occupancy
Be1 Be 0.0000 0.0000 0.0000 1
Ir1 Ir 0.0000 0.5000 0.5000 1
Pb1 Pb 0.5000 0.0000 0.5000 1
Pb2 Pb 0.5000 0.5000 0.0000 1
# Raw total energy = -4.327 eV/atom
# Density of states at the Fermi level = 1.6 states/eV/f.u.
# E_form = 0.674 eV per atom

No. 3
# SmPPb PBE relaxed
data_SmPPb
_chemical_formula_sum 'Sm6 P6 Pb6'
_cell_length_a 5.1319
_cell_length_b 5.1319
_cell_length_c 22.7167
_cell_angle_alpha 90.00
_cell_angle_beta 90.00
_cell_angle_gamma 120.00
_symmetry_space_group_name_H-M 'R -3 m'
_symmetry_Int_Tables_number 166
_symmetry_space_group_name_Hall '-R 3 2"'
loop_
_atom_site_label
_atom_site_type_symbol
_atom_site_fract_x
_atom_site_fract_y
_atom_site_fract_z
_atom_site_occupancy
Sm1 Sm 0.0000 0.0000 0.1031 1
P1 P 0.0000 0.0000 0.2241 1
Pb1 Pb 0.0000 0.0000 0.3464 1
# Raw total energy = -5.252 eV/atom
# Density of states at the Fermi level = 0.3 states/eV/f.u.
# E_form = -0.640 eV per atom

No. 4
# Er5MgRh4 PBE relaxed
data_Er5MgRh4
_chemical_formula_sum 'Er5 Mg1 Rh4'
_cell_length_a 3.4335
_cell_length_b 3.4335
_cell_length_c 17.8197
_cell_angle_alpha 90.00
_cell_angle_beta 90.00
_cell_angle_gamma 90.00
_symmetry_space_group_name_H-M 'P 4/m m m'
_symmetry_Int_Tables_number 123
_symmetry_space_group_name_Hall '-P 4 2'
loop_
_atom_site_label
_atom_site_type_symbol
_atom_site_fract_x
_atom_site_fract_y
_atom_site_fract_z
_atom_site_occupancy
Er1 Er 0.0000 0.0000 0.0000 1
Er2 Er 0.0000 0.0000 0.1887 1
Er3 Er 0.0000 0.0000 0.3745 1
Mg1 Mg 0.5000 0.5000 0.5000 1
Rh1 Rh 0.5000 0.5000 0.0946 1
Rh2 Rh 0.5000 0.5000 0.2858 1
# Raw total energy = -6.151 eV/atom
# Density of states at the Fermi level = 6.9 states/eV/f.u.
# E_form = -0.770 eV per atom

No. 5
# K3Tb3NbS8 PBE relaxed
data_K3Tb3NbS8
_chemical_formula_sum 'K9 Tb9 Nb3 S24'
_cell_length_a 7.8944
_cell_length_b 7.8944
_cell_length_c 22.5540
_cell_angle_alpha 90.00
_cell_angle_beta 90.00
_cell_angle_gamma 120.00
_symmetry_space_group_name_H-M 'R -3 m'
_symmetry_Int_Tables_number 166
_symmetry_space_group_name_Hall '-R 3 2"'
loop_
_atom_site_label
_atom_site_type_symbol
_atom_site_fract_x
_atom_site_fract_y
_atom_site_fract_z
_atom_site_occupancy
K1 K 0.0000 0.5000 0.0000 1
Tb1 Tb 0.0000 0.5000 0.5000 1
Nb1 Nb 0.0000 0.0000 0.5000 1
S1 S 0.0000 0.0000 0.2346 1
S2 S 0.0233 0.5117 0.2305 1
# Formation energy (no corrections) = -1.6578 eV per atom
# Raw total energy = -5.676 eV/atom
# Density of states at the Fermi level = 4.8 states/eV/f.u.

No. 6
# PC PBE relaxed
data_PC
_chemical_formula_sum 'P3 C3'
_cell_length_a 5.2154
_cell_length_b 5.2154
_cell_length_c 2.6883
_cell_angle_alpha 90.00
_cell_angle_beta 90.00
_cell_angle_gamma 120.00
_symmetry_space_group_name_H-M 'P 6/m m m'
_symmetry_Int_Tables_number 191
_symmetry_space_group_name_Hall '-P 6 2'
loop_
_atom_site_label
_atom_site_type_symbol
_atom_site_fract_x
_atom_site_fract_y
_atom_site_fract_z
_atom_site_occupancy
P1 P 0.0000 0.5000 0.0000 1
C1 C 0.0000 0.0000 0.0000 1
C2 C 0.3333 0.6667 0.5000 1
# Energy relative to the lowest polymorph listed for this composition = 1622 meV per atom
# Raw total energy = -5.382 eV/atom
# Density of states at the Fermi level = 0.7 states/eV/f.u.
# E_form = 1.934 eV per atom

No. 7
# AlCr2Fe PBE relaxed
data_AlCr2Fe
_chemical_formula_sum 'Al3 Cr6 Fe3'
_cell_length_a 2.5956
_cell_length_b 2.5956
_cell_length_c 24.8951
_cell_angle_alpha 90.00
_cell_angle_beta 90.00
_cell_angle_gamma 120.00
_symmetry_space_group_name_H-M 'R 3 m'
_symmetry_Int_Tables_number 160
_symmetry_space_group_name_Hall 'R 3 -2"'
loop_
_atom_site_label
_atom_site_type_symbol
_atom_site_fract_x
_atom_site_fract_y
_atom_site_fract_z
_atom_site_occupancy
Al1 Al 0.0000 0.0000 0.0000 1
Cr1 Cr 0.0000 0.0000 0.5070 1
Cr2 Cr 0.0000 0.0000 0.7547 1
Fe1 Fe 0.0000 0.0000 0.2500 1
# Energy relative to the lowest polymorph listed for this composition = 284 meV per atom
# Raw total energy = -7.720 eV/atom
# Density of states at the Fermi level = 3.4 states/eV/f.u.
# E_form = 0.143 eV per atom

No. 8
# SnGeBi PBE relaxed
data_SnGeBi
_chemical_formula_sum 'Sn4 Ge4 Bi4'
_cell_length_a 7.0934
_cell_length_b 7.0934
_cell_length_c 7.0934
_cell_angle_alpha 90.00
_cell_angle_beta 90.00
_cell_angle_gamma 90.00
_symmetry_space_group_name_H-M 'F -4 3 m'
_symmetry_Int_Tables_number 216
_symmetry_space_group_name_Hall 'F -4 2 3'
loop_
_atom_site_label
_atom_site_type_symbol
_atom_site_fract_x
_atom_site_fract_y
_atom_site_fract_z
_atom_site_occupancy
Sn1 Sn 0.0000 0.0000 0.0000 1
Ge1 Ge 0.2500 0.2500 0.7500 1
Bi1 Bi 0.0000 0.0000 0.5000 1
# Energy relative to the lowest polymorph listed for this composition = 70 meV per atom
# Raw total energy = -3.959 eV/atom
# Density of states at the Fermi level = 1.3 states/eV/f.u.
# E_form = 0.208 eV per atom

Question: The lowest density of states at the Fermi level belongs to which entry?
Answer: SmPPb

Please write out number 1 again, unchanged.
# BeOsPb PBE relaxed
data_BeOsPb
_chemical_formula_sum 'Be1 Os1 Pb1'
_cell_length_a 3.0706
_cell_length_b 3.0706
_cell_length_c 6.3422
_cell_angle_alpha 90.00
_cell_angle_beta 90.00
_cell_angle_gamma 120.00
_symmetry_space_group_name_H-M 'P 3 m 1'
_symmetry_Int_Tables_number 156
_symmetry_space_group_name_Hall 'P 3 -2"'
loop_
_atom_site_label
_atom_site_type_symbol
_atom_site_fract_x
_atom_site_fract_y
_atom_site_fract_z
_atom_site_occupancy
Be1 Be 0.0000 0.0000 0.0000 1
Os1 Os 0.6667 0.3333 0.2307 1
Pb1 Pb 0.3333 0.6667 0.6075 1
# Energy relative to the lowest polymorph listed for this composition = 340 meV per atom
# Raw total energy = -5.505 eV/atom
# Density of states at the Fermi level = 2.0 states/eV/f.u.
# E_form = 0.716 eV per atom

Question: Which of these has the highest raw total energy?
Answer: SnGeBi

Question: Which of these has the lowest density of states at the Fermi level?
Answer: SmPPb